No. 1
The following is a DFT calculation (meta-GGA SCAN) of a crystal of SrAlCl2 relaxed with PBEsol.

abc: 5.2268 5.2268 5.2268
angles: 60.00 60.00 60.00
Closest atoms and distances in Å follow each position.
Fractional positions:
Cl 0.0000 0.0000 0.0000  4 Cl 3.20, 4 Sr 3.20
Cl 0.7500 0.7500 0.7500  4 Al 3.20, 4 Cl 3.20
Sr 0.2500 0.2500 0.2500  4 Cl 3.20, 4 Al 3.20
Al 0.5000 0.5000 0.5000  4 Cl 3.20, 4 Sr 3.20

Values from the calculation:
Raw formation energy   -774 meV/atom
Density of states at the Fermi level   2.79 states/eV/cell

No. 2
The following is a DFT calculation (meta-GGA SCAN) of a crystal of CoHNO2 relaxed with PBEsol.

abc: 2.6907 2.6907 5.9262
angles: 90.00 90.00 90.00
Closest atoms and distances in Å follow each position.
Fractional positions:
N 0.0000 0.0000 0.5000  4 Co 1.90
Co 0.5000 0.5000 0.5000  4 N 1.90
O 0.5000 0.0000 0.0000  2 H 1.35
O 0.0000 0.5000 0.0000  2 H 1.35
H 0.0000 0.0000 0.0000  4 O 1.35

Values from the calculation:
Density of states at the Fermi level   1.88 states/eV/cell

No. 3
The following is a DFT calculation (meta-GGA SCAN) of a crystal of Na2TlAs2 relaxed with PBEsol.

abc: 4.7184 4.7184 6.6911
angles: 110.65 110.65 90.00
Closest atoms and distances in Å follow each position.
Fractional positions:
Na 0.2500 0.7500 0.5000  4 As 2.93
Na 0.7500 0.2500 0.5000  4 As 2.93
Tl 0.0000 0.0000 0.0000  8 As 3.53, 8 Na 3.74
As 0.4005 0.4005 0.8009  1 As 2.31
As 0.5995 0.5995 0.1991  1 As 2.31

Values from the calculation:
Energy of formation from the pure elements   -249 meV/atom
Density of states at the Fermi level   2.11 states/eV/cell

No. 4
The following is a DFT calculation (meta-GGA SCAN) of a crystal of SrLaY relaxed with PBEsol.

abc: 3.6654 5.2737 6.5674
angles: 113.67 106.20 90.00
Closest atoms and distances in Å follow each position.
Fractional positions:
La 0.9886 0.9886 0.9773  4 Y 3.62, 5 Sr 3.67-3.82, 2 La 3.67
Sr 0.6688 0.6688 0.3375  5 La 3.67-3.82, 2 Sr 3.67, 5 Y 3.74-3.78
Y 0.3426 0.3426 0.6852  4 La 3.62, 2 Y 3.67, 5 Sr 3.74-3.78

Values from the calculation:
Energy of formation from the pure elements   210 meV/atom
Density of states at the Fermi level   4.91 states/eV/cell

no.,total DFT energy (no corrections) (eV per atom)
1,-12.269
2,-7.595
3,-24.483
4,-30.864